Record 1
This record from Alexandria via LeMat-Bulk describes a crystal of La2Cl3 relaxed with PBEsol. The functional is SCAN.

Results
Total magnetic moment in μB/atom: 0.00
Calculated total energy in eV per atom: -24.131
Crystal system: trigonal

Lattice parameters (Å, degrees): 9.9655 9.9655 9.9655 23.45 23.45 23.45
Last column: nearest neighbours and their distance in Å.
Atoms (fractional coordinates):
La  0.1122  0.1122  0.1122  6 Cl 2.82-2.88
La  0.8878  0.8878  0.8878  6 Cl 2.82-2.88
Cl  0.2790  0.2790  0.2790  3 La 2.88
Cl  0.5000  0.5000  0.5000  6 La 2.82
Cl  0.7210  0.7210  0.7210  3 La 2.88

Record 2
This record from Alexandria via LeMat-Bulk describes a crystal of LaCl3 relaxed with PBEsol. The functional is SCAN.

Results
Total magnetic moment in μB/atom: 0.00
Calculated total energy in eV per atom: -19.477
Crystal system: hexagonal

Lattice parameters (Å, degrees): 7.4271 7.4271 4.3093 90.00 90.00 120.00
Last column: nearest neighbours and their distance in Å.
Atoms (fractional coordinates):
La  0.3333  0.6667  0.2500  9 Cl 2.91-2.93
La  0.6667  0.3333  0.7500  9 Cl 2.91-2.93
Cl  0.0861  0.3884  0.7500  3 La 2.91-2.93
Cl  0.3023  0.9139  0.7500  3 La 2.91-2.93
Cl  0.3884  0.3023  0.2500  3 La 2.91-2.93
Cl  0.6116  0.6977  0.7500  3 La 2.91-2.93
Cl  0.6977  0.0861  0.2500  3 La 2.91-2.93
Cl  0.9139  0.6116  0.2500  3 La 2.91-2.93

Record 3
This record from Alexandria via LeMat-Bulk describes a crystal of La3Cl relaxed with PBEsol. The functional is SCAN.

Results
Total magnetic moment in μB/atom: 0.01
Crystal system: hexagonal
Excess energy over the best structure of this formula in the dataset in eV per formula unit: 0.06

Lattice parameters (Å, degrees): 3.6726 3.6726 10.2302 90.00 90.00 120.00
Last column: nearest neighbours and their distance in Å.
Atoms (fractional coordinates):
La  0.0000  0.0000  0.0000  12 La 3.64-3.67
La  0.3333  0.6667  0.2889  3 Cl 3.03
La  0.3333  0.6667  0.7111  3 Cl 3.03
Cl  0.0000  0.0000  0.5000  6 La 3.03

Record 4
This record from Alexandria via LeMat-Bulk describes a crystal of LaCl3 relaxed with PBEsol. The functional is SCAN.

Results
Total magnetic moment in μB/atom: 0.00
Calculated total energy in eV per atom: -19.352
Crystal system: orthorhombic

Lattice parameters (Å, degrees): 5.6779 5.6779 5.6779 138.50 79.54 115.63
Last column: nearest neighbours and their distance in Å.
Atoms (fractional coordinates):
La  0.0000  0.0000  0.0000  6 Cl 2.74-2.87
Cl  0.0026  0.6940  0.3085  2 La 2.87
Cl  0.3855  0.6940  0.6915  2 La 2.87
Cl  0.6924  0.1924  0.5000  2 La 2.74

Please write out number 4 again, unchanged.
This record from Alexandria via LeMat-Bulk describes a crystal of LaCl3 relaxed with PBEsol. The functional is SCAN.

Results
Total magnetic moment in μB/atom: 0.00
Calculated total energy in eV per atom: -19.352
Crystal system: orthorhombic

Lattice parameters (Å, degrees): 5.6779 5.6779 5.6779 138.50 79.54 115.63
Last column: nearest neighbours and their distance in Å.
Atoms (fractional coordinates):
La  0.0000  0.0000  0.0000  6 Cl 2.74-2.87
Cl  0.0026  0.6940  0.3085  2 La 2.87
Cl  0.3855  0.6940  0.6915  2 La 2.87
Cl  0.6924  0.1924  0.5000  2 La 2.74

Question: Number 4 is which compound?
Answer: LaCl3

Question: The highest total magnetic moment belongs to which entry?
Answer: La3Cl